Entry 1:
LiPt2Se, optimized geometry, DFT GGA-PBE; final energy = -18.63 eV/cell; crystal system = tetragonal; V = 15.31 Å³ per atom
1.0
3.959 0.000 0.000
0.000 3.959 0.000
0.000 0.000 3.907
Li Pt Se
1 2 1
direct
0.000 0.000 0.000
0.000 0.500 0.500
0.500 0.000 0.500
0.500 0.500 0.000

Entry 2:
LiPt2Se, optimized geometry, DFT GGA-PBE; final energy = -18.46 eV/cell; crystal system = orthorhombic; V = 15.44 Å³ per atom
1.0
2.846 -3.638 0.000
2.846 3.638 0.000
0.000 0.000 2.982
Li Pt Se
1 2 1
direct
0.000 0.000 0.000
0.000 0.500 0.500
0.500 0.000 0.500
0.500 0.500 0.000

Entry 3:
LiPt4Se, optimized geometry, DFT GGA-PBE; final energy = -29.37 eV/cell; crystal system = cubic; V = 17.62 Å³ per atom
1.0
0.000 3.753 3.753
3.753 0.000 3.753
3.753 3.753 0.000
Li Pt Se
1 4 1
direct
0.000 0.000 0.000
0.125 0.625 0.625
0.625 0.125 0.625
0.625 0.625 0.125
0.625 0.625 0.625
0.250 0.250 0.250